Compound: IrWCl
Source: the Alexandria database
Functional: PBE
Structure: optimized geometry

For the offset from the most stable computed form, the calculation gives 0.00 eV per formula unit. Its formation energy without anion corrections is 0.166 eV per atom. The density is 13.41 g/cm3. As for the total DFT energy (no corrections): -7.721 eV/atom.

Lattice parameters (Å, degrees): 2.880 2.880 7.094 90.00 90.00 120.00
Element x y z (fractional)
Ir: 0.000 0.000 0.000
W: 0.667 0.333 0.295
Cl: 0.333 0.667 0.564